1.
Density functional theory data (GGA-PBE) for crystalline LiBRh3 at its relaxed geometry.

Output
Offset from the most stable computed form (meV/atom): 19.9
Fermi-level density of states (states/eV per atom): 1.098
Energy of formation (eV/atom): -0.142
Total moment (μB/f.u.): 0.0

abc: 4.078 4.078 4.078
angles: 90.00 90.00 90.00
Positions (direct):
B1 0.000 0.000 0.000
Rh1 0.000 0.500 0.000
Rh2 0.000 0.000 0.500
Rh3 0.500 0.000 0.000
Li1 0.500 0.500 0.500

2.
Density functional theory data (GGA-PBE) for crystalline NiMo5 at its relaxed geometry.

Output
Offset from the most stable computed form (meV/atom): 135.4
Fermi-level density of states (states/eV per atom): 0.978
Energy of formation (eV/atom): 0.230
Total moment (μB/f.u.): 0.0

abc: 5.419 5.419 6.885
angles: 75.87 75.87 27.95
Positions (direct):
Ni1 0.275 0.275 0.950
Mo1 0.999 0.999 0.986
Mo2 0.605 0.605 0.278
Mo3 0.333 0.333 0.318
Mo4 0.940 0.940 0.630
Mo5 0.680 0.680 0.670

3.
Density functional theory data (GGA-PBE) for crystalline MgInAsSe2 at its relaxed geometry.

Output
Offset from the most stable computed form (meV/atom): 0.0
Fermi-level density of states (states/eV per atom): 1.338
Total moment (μB/f.u.): 0.0
Formation energy from raw total energies (eV per atom): 0.16

abc: 5.179 5.179 5.096
angles: 90.00 90.00 90.00
Positions (direct):
As1 0.000 0.000 0.500
Mg1 0.000 0.000 0.000
Se1 0.000 0.500 0.000
Se2 0.500 0.000 0.000
In1 0.500 0.500 0.500

4.
Density functional theory data (GGA-PBE) for crystalline Er2Al4NiGe2 at its relaxed geometry.

Output
Fermi-level density of states (states/eV per atom): 0.238
Energy of formation (eV/atom): -0.620
Total moment (μB/f.u.): 0.0

abc: 10.083 10.083 10.083
angles: 156.36 156.36 33.68
Positions (direct):
Ni1 0.000 0.000 0.000
Ge1 0.336 0.336 0.000
Ge2 0.664 0.664 0.000
Al1 0.568 0.068 0.500
Al2 0.432 0.932 0.500
Al3 0.068 0.568 0.500
Al4 0.932 0.432 0.500
Er1 0.186 0.186 0.000
Er2 0.814 0.814 0.000

5.
Density functional theory data (GGA-PBE) for crystalline BaTeRh at its relaxed geometry.

Output
Fermi-level density of states (states/eV per atom): 0.708
Total moment (μB/f.u.): 0.0
Formation energy from raw total energies (eV per atom): -0.71

abc: 4.679 4.679 8.547
angles: 105.89 105.89 90.00
Positions (direct):
Te1 0.102 0.102 0.204
Te2 0.898 0.898 0.796
Rh1 0.000 0.500 0.000
Rh2 0.500 0.000 0.000
Ba1 0.649 0.649 0.298
Ba2 0.351 0.351 0.702

6.
Density functional theory data (GGA-PBE) for crystalline ZrFeAu2 at its relaxed geometry.

Output
Fermi-level density of states (states/eV per atom): 1.410
Energy of formation (eV/atom): -0.135
Total moment (μB/f.u.): 2.1

abc: 4.623 4.623 4.623
angles: 60.00 60.00 60.00
Site moments in Bohr magnetons follow the coordinates.
Positions (direct):
Au1 0.000 0.000 0.000  0.03
Au2 0.750 0.750 0.750  0.04
Fe1 0.500 0.500 0.500  2.49
Zr1 0.250 0.250 0.250  -0.33

7.
Density functional theory data (GGA-PBE) for crystalline Cd2IrRh at its relaxed geometry.

Output
Fermi-level density of states (states/eV per atom): 0.869
Energy of formation (eV/atom): 0.181
Total moment (μB/f.u.): 0.0

abc: 5.470 5.470 5.470
angles: 148.24 127.35 62.81
Positions (direct):
Cd1 0.748 0.748 0.000
Cd2 0.252 0.252 0.000
Ir1 0.000 0.500 0.500
Rh1 0.500 0.000 0.500

8.
Density functional theory data (GGA-PBE) for crystalline LaCrTe2 at its relaxed geometry.

Output
Offset from the most stable computed form (meV/atom): 136.5
Fermi-level density of states (states/eV per atom): 0.403
Total moment (μB/f.u.): 4.5
Formation energy from raw total energies (eV per atom): -0.65

abc: 5.256 5.256 3.937
angles: 90.00 90.00 90.00
Site moments in Bohr magnetons follow the coordinates.
Positions (direct):
Cr1 0.500 0.000 0.500  3.98
La1 0.000 0.500 0.500  0.10
Te1 0.000 0.000 0.000  -0.10
Te2 0.500 0.500 0.000  -0.10

9.
Density functional theory data (GGA-PBE) for crystalline Ta2PbAu at its relaxed geometry.

Output
Fermi-level density of states (states/eV per atom): 0.355
Energy of formation (eV/atom): 0.291
Total moment (μB/f.u.): 0.0

abc: 4.106 4.183 4.496
angles: 90.00 90.00 90.00
Positions (direct):
Au1 0.500 0.000 0.500
Pb1 0.000 0.500 0.500
Ta1 0.000 0.000 0.000
Ta2 0.500 0.500 0.000

10.
Density functional theory data (GGA-PBE) for crystalline K2IrO6 at its relaxed geometry.

Output
Fermi-level density of states (states/eV per atom): 0.078
Total moment (μB/f.u.): 1.0
Formation energy from raw total energies (eV per atom): -0.49

abc: 3.581 6.640 6.601
angles: 120.19 90.96 90.00
Site moments in Bohr magnetons follow the coordinates.
Positions (direct):
K1 0.654 0.676 0.352  0.00
K2 0.346 0.324 0.648  0.00
Ir1 0.000 0.000 0.000  0.48
O1 0.152 0.318 0.235  0.11
O2 0.848 0.083 0.765  0.11
O3 0.848 0.682 0.765  0.11
O4 0.500 0.189 0.000  -0.02
O5 0.152 0.917 0.235  0.11
O6 0.500 0.811 0.000  -0.02

11.
Density functional theory data (GGA-PBE) for crystalline Sr2HgGePt at its relaxed geometry.

Output
Fermi-level density of states (states/eV per atom): 0.648
Energy of formation (eV/atom): -0.584
Total moment (μB/f.u.): 0.0

abc: 5.951 5.951 4.700
angles: 90.00 90.00 90.00
Positions (direct):
Sr1 0.000 0.500 0.000
Sr2 0.500 0.000 0.000
Ge1 0.000 0.000 0.500
Hg1 0.500 0.500 0.500
Pt1 0.000 0.000 0.000

12.
Density functional theory data (GGA-PBE) for crystalline TeHCl at its relaxed geometry.

Output
Offset from the most stable computed form (meV/atom): 0.0
Fermi-level density of states (states/eV per atom): 0.197
Total moment (μB/f.u.): 0.0

abc: 5.394 3.262 12.536
angles: 82.12 116.82 91.29
Positions (direct):
Te1 0.695 0.026 0.948
Te2 0.305 0.974 0.052
H1 0.969 0.998 0.352
H2 0.031 0.002 0.648
Cl1 0.884 0.675 0.632
Cl2 0.116 0.325 0.368